Record 1
Material: CaTlSnI6
Method: DFT, PBE
State: optimized geometry

a b c (Å): 7.923 7.923 15.312
angles (deg): 90.00 90.00 120.00
Atoms (fractional coordinates):
Ca 0.667 0.333 0.250
I 0.356 0.991 0.134
I 0.009 0.365 0.134
I 0.635 0.991 0.366
I 0.644 0.009 0.866
Sn 0.333 0.667 0.250
I 0.365 0.009 0.634
I 0.991 0.356 0.634
Tl 0.000 0.000 0.500
I 0.009 0.644 0.366
I 0.991 0.635 0.866
I 0.365 0.356 0.866
I 0.644 0.635 0.634
Sn 0.667 0.333 0.750
I 0.635 0.644 0.134
Ca 0.333 0.667 0.750
Tl 0.000 0.000 0.000
I 0.356 0.365 0.366

Output
E_form (uncorrected)	-823.2	meV per atom
SG	P-31c, No. 163
total magnetization	0.00	μB/cell

***

Record 2
Material: Ac2PmIn
Method: DFT, PBE
State: optimized geometry

a b c (Å): 3.880 6.265 12.617
angles (deg): 90.00 98.85 90.00
Atoms (fractional coordinates):
In 0.365 0.148 0.731
Ac 0.243 0.804 0.485
Pm 0.970 0.190 0.940
Ac 0.117 0.168 0.234
In 0.635 0.648 0.269
Pm 0.030 0.690 0.060
Ac 0.883 0.668 0.766
Ac 0.757 0.304 0.515

Output
E_form	-0.070	eV per atom
SG	Cmc2_1, No. 36
relative energy among the computed polymorphs	48.4	kJ/mol of formula units
total magnetization	0.00	μB/cell